Record 1
# PuBH3, relaxed, DFT PBE-GGA
# Total DFT energy (no corrections)   -6.4298 eV/atom
data_PuBH3
_symmetry_space_group_name_H-M 'P 1 21/c 1'
_symmetry_Int_Tables_number 14
_cell_length_a 5.615
_cell_length_b 5.642
_cell_length_c 7.783
_cell_angle_alpha 90.00
_cell_angle_beta 133.57
_cell_angle_gamma 90.00
loop_
_symmetry_equiv_pos_as_xyz
'x,y,z'
'-x,-y,-z'
'-x,y+1/2,-z+1/2'
'x,-y+1/2,z+1/2'
loop_
_atom_site_label
_atom_site_type_symbol
_atom_site_fract_x
_atom_site_fract_y
_atom_site_fract_z
Pu1 Pu 0.241 0.243 0.499
B1 B 0.223 0.743 0.980
H1 H 0.246 0.624 0.625
H2 H 0.254 0.616 0.366
H3 H 0.495 0.627 0.119

Record 2
# RbPuB2H8, relaxed, DFT PBE-GGA
# Total DFT energy (no corrections)   -4.8725 eV/atom
data_RbPuB2H8
_symmetry_space_group_name_H-M 'R -3 m'
_symmetry_Int_Tables_number 166
_symmetry_space_group_name_Hall '-R 3 2"'
_cell_length_a 4.2327
_cell_length_b 4.2327
_cell_length_c 24.1429
_cell_angle_alpha 90.00
_cell_angle_beta 90.00
_cell_angle_gamma 120.00
loop_
_atom_site_label
_atom_site_type_symbol
_atom_site_fract_x
_atom_site_fract_y
_atom_site_fract_z
Rb1 Rb 0.0000 0.0000 0.0000
Pu1 Pu 0.0000 0.0000 0.5000
B1 B 0.0000 0.0000 0.2375
H1 H 0.0000 0.0000 0.2883
H2 H 0.0116 0.5058 0.4466

Please write out number 2 again, unchanged.
# RbPuB2H8, relaxed, DFT PBE-GGA
# Total DFT energy (no corrections)   -4.8725 eV/atom
data_RbPuB2H8
_symmetry_space_group_name_H-M 'R -3 m'
_symmetry_Int_Tables_number 166
_symmetry_space_group_name_Hall '-R 3 2"'
_cell_length_a 4.2327
_cell_length_b 4.2327
_cell_length_c 24.1429
_cell_angle_alpha 90.00
_cell_angle_beta 90.00
_cell_angle_gamma 120.00
loop_
_atom_site_label
_atom_site_type_symbol
_atom_site_fract_x
_atom_site_fract_y
_atom_site_fract_z
Rb1 Rb 0.0000 0.0000 0.0000
Pu1 Pu 0.0000 0.0000 0.5000
B1 B 0.0000 0.0000 0.2375
H1 H 0.0000 0.0000 0.2883
H2 H 0.0116 0.5058 0.4466